# LiMg3Fe (PBE-GGA, relaxed)
# ΔE_f in kcal/mol of atoms: 10.9
# Polymorph energy (0 for the lowest one) in meV per atom: 0
# DOS at the Fermi energy in states/eV per cell: 4.5
# Total energy in eV/atom: -2.561
# Total magnetization in μB/cell: 1.28
# V in A^3/atom: 23.90
data_LiMg3Fe
_cell_length_a 4.925
_cell_length_b 4.925
_cell_length_c 4.925
_cell_angle_alpha 90.00
_cell_angle_beta 90.00
_cell_angle_gamma 90.00
_symmetry_space_group_name_H-M 'P m -3 m'
_symmetry_Int_Tables_number 221
_symmetry_space_group_name_Hall '-P 4 2 3'
loop_
_atom_site_label
_atom_site_type_symbol
_atom_site_fract_x
_atom_site_fract_y
_atom_site_fract_z
Li1 Li 0.000 0.000 0.000
Mg1 Mg 0.000 0.500 0.500
Fe1 Fe 0.500 0.500 0.500